1.
Material: Ca2BiP2
Method: DFT, GGA-PBE
State: relaxed

Unit cell a=7.8516 b=7.8516 c=3.9179 alpha=90.00 beta=90.00 gamma=90.00
Last column: nearest neighbours and their distance in Å.
Space group P4/mbm (No. 127)
Symmetry-distinct sites (fractional):
Ca  0.1457  0.3543  0.0000 x4  6 P 2.91-3.11, 1 Ca 3.24
Bi  0.0000  0.0000  0.5000 x2  4 P 2.95
P  0.1611  0.6611  0.5000 x4  6 Ca 2.91-3.11, 2 Bi 2.95

Computed properties:
ΔE_f, eV per atom: -0.75

2.
Material: ErTh2Bi
Method: DFT, GGA-PBE
State: relaxed

Unit cell a=4.7574 b=4.7574 c=5.2792 alpha=90.00 beta=90.00 gamma=90.00
Last column: nearest neighbours and their distance in Å.
Space group P4/mmm (No. 123)
Symmetry-distinct sites (fractional):
Er  0.0000  0.0000  0.0000 x1  4 Bi 3.36, 8 Th 3.55
Th  0.0000  0.5000  0.5000 x2  4 Th 3.36, 4 Bi 3.55, 4 Er 3.55
Bi  0.5000  0.5000  0.0000 x1  4 Er 3.36, 8 Th 3.55

Computed properties:
ΔE_f, eV per atom: -0.29

3.
Material: RbFe2AgCl8
Method: DFT, GGA-PBE
State: relaxed

Unit cell a=10.7372 b=7.4384 c=9.6914 alpha=90.00 beta=97.56 gamma=90.00
Last column: nearest neighbours and their distance in Å.
Space group C2/m (No. 12)
Symmetry-distinct sites (fractional):
Rb  0.0000  0.0000  0.0000 x2  6 Cl 3.39-3.50
Fe  0.1121  0.5000  0.2835 x4  4 Cl 2.20-2.23
Ag  0.0000  0.0000  0.5000 x2  6 Cl 2.66-2.81
Cl  0.0094  0.2573  0.7130 x8  1 Fe 2.23
Cl  0.1937  0.5000  0.0866 x4  1 Fe 2.20
Cl  0.2498  0.0000  0.5269 x4  1 Fe 2.20

Computed properties:
E, eV/atom: -3.92

4.
Material: Si23Sb4
Method: DFT, GGA-PBE
State: relaxed

Unit cell a=10.1924 b=10.1924 c=10.1924 alpha=90.00 beta=90.00 gamma=90.00
Last column: nearest neighbours and their distance in Å.
Space group Pm-3n (No. 223)
Symmetry-distinct sites (fractional):
Si  0.0000  0.1162  0.3114 x24  4 Si 2.36-2.38
Si  0.0000  0.2500  0.5000 x6  4 Si 2.36
Si  0.1829  0.1829  0.1829 x16  4 Si 2.37-2.38
Sb  0.0000  0.0000  0.0000 x2  20 Si 3.23-3.39
Sb  0.0000  0.5000  0.2500 x6  20 Si 3.40-3.79

Computed properties:
E, eV/atom: -4.99

Repeat the first record exactly.
Material: Ca2BiP2
Method: DFT, GGA-PBE
State: relaxed

Unit cell a=7.8516 b=7.8516 c=3.9179 alpha=90.00 beta=90.00 gamma=90.00
Last column: nearest neighbours and their distance in Å.
Space group P4/mbm (No. 127)
Symmetry-distinct sites (fractional):
Ca  0.1457  0.3543  0.0000 x4  6 P 2.91-3.11, 1 Ca 3.24
Bi  0.0000  0.0000  0.5000 x2  4 P 2.95
P  0.1611  0.6611  0.5000 x4  6 Ca 2.91-3.11, 2 Bi 2.95

Computed properties:
ΔE_f, eV per atom: -0.75